# MnVMoIr2 GGA-PBE relaxed
# crystal system: tetragonal
# uncorrected energy: -37.45 eV/cell
# calculated formation energy: 1.8775 eV/atom
# calculated density: 10.0 g cm⁻³
# magnetization: 0.56 μB/f.u.
data_MnVMoIr2
_cell_length_a 4.695
_cell_length_b 4.695
_cell_length_c 4.401
_cell_angle_alpha 90.00
_cell_angle_beta 90.00
_cell_angle_gamma 90.00
_space_group_name_H-M_alt 'P 4/m m m'
_space_group_IT_number 123
_space_group_name_Hall '-P 4 2'
loop_
_atom_site_label
_atom_site_fract_x
_atom_site_fract_y
_atom_site_fract_z
Mn1 0.000 0.000 0.000
V1 0.500 0.500 0.000
Mo1 0.500 0.500 0.500
Ir1 0.000 0.500 0.500

---

# Bi2Pb GGA-PBE relaxed
# crystal system: tetragonal
# uncorrected energy: -22.46 eV/cell
# calculated formation energy: 0.0808 eV/atom
# calculated density: 10.9 g cm⁻³
# magnetization: 0.00 μB/f.u.
data_Bi2Pb
_cell_length_a 3.996
_cell_length_b 3.996
_cell_length_c 11.979
_cell_angle_alpha 90.00
_cell_angle_beta 90.00
_cell_angle_gamma 90.00
_space_group_name_H-M_alt 'I 4/m m m'
_space_group_IT_number 139
_space_group_name_Hall '-I 4 2'
loop_
_atom_site_label
_atom_site_fract_x
_atom_site_fract_y
_atom_site_fract_z
Bi1 0.000 0.000 0.174
Pb1 0.000 0.000 0.500

---

# TlGaNiSn2 GGA-PBE relaxed
# crystal system: tetragonal
# uncorrected energy: -19.20 eV/cell
# calculated formation energy: -0.0031 eV/atom
# calculated density: 7.8 g cm⁻³
# magnetization: 0.00 μB/f.u.
data_TlGaNiSn2
_cell_length_a 5.124
_cell_length_b 5.124
_cell_length_c 4.637
_cell_angle_alpha 90.00
_cell_angle_beta 90.00
_cell_angle_gamma 90.00
_space_group_name_H-M_alt 'P 4/m m m'
_space_group_IT_number 123
_space_group_name_Hall '-P 4 2'
loop_
_atom_site_label
_atom_site_fract_x
_atom_site_fract_y
_atom_site_fract_z
Tl1 0.000 0.000 0.000
Ga1 0.500 0.500 0.000
Ni1 0.500 0.500 0.500
Sn1 0.000 0.500 0.500

---

# MoW2Se GGA-PBE relaxed
# uncorrected formation energy: 0.595 eV/atom
# crystal system: orthorhombic
# uncorrected energy: -75.68 eV/cell
# calculated density: 13.8 g cm⁻³
# magnetization: 0.00 μB/f.u.
data_MoW2Se
_cell_length_a 5.175
_cell_length_b 8.422
_cell_length_c 2.989
_cell_angle_alpha 90.00
_cell_angle_beta 90.00
_cell_angle_gamma 90.00
_space_group_name_H-M_alt 'C m m m'
_space_group_IT_number 65
_space_group_name_Hall '-C 2 2'
loop_
_atom_site_label
_atom_site_fract_x
_atom_site_fract_y
_atom_site_fract_z
Mo1 0.000 0.000 0.000
W1 0.250 0.250 0.500
Se1 0.000 0.500 0.000

---

# SrMgZn2Ga4 GGA-PBE relaxed
# crystal system: trigonal
# uncorrected energy: -58.02 eV/cell
# calculated formation energy: -0.1761 eV/atom
# calculated density: 5.2 g cm⁻³
# magnetization: 0.00 μB/f.u.
data_SrMgZn2Ga4
_cell_length_a 4.4529
_cell_length_b 4.4529
_cell_length_c 29.3493
_cell_angle_alpha 90.00
_cell_angle_beta 90.00
_cell_angle_gamma 120.00
_space_group_name_H-M_alt 'R -3 m'
_space_group_IT_number 166
_space_group_name_Hall '-R 3 2"'
loop_
_atom_site_label
_atom_site_fract_x
_atom_site_fract_y
_atom_site_fract_z
Sr1 0.0000 0.0000 0.0000
Mg1 0.0000 0.0000 0.5000
Zn1 0.0000 0.0000 0.2441
Ga1 0.0000 0.0000 0.1243
Ga2 0.0000 0.0000 0.4020

---

# Ho2Mg5Cd GGA-PBE relaxed
# crystal system: tetragonal
# uncorrected energy: -15.81 eV/cell
# calculated formation energy: 0.2792 eV/atom
# calculated density: 4.1 g cm⁻³
# magnetization: 0.00 μB/f.u.
data_Ho2Mg5Cd
_cell_length_a 6.736
_cell_length_b 6.736
_cell_length_c 5.020
_cell_angle_alpha 90.00
_cell_angle_beta 90.00
_cell_angle_gamma 90.00
_space_group_name_H-M_alt 'P 4/m m m'
_space_group_IT_number 123
_space_group_name_Hall '-P 4 2'
loop_
_atom_site_label
_atom_site_fract_x
_atom_site_fract_y
_atom_site_fract_z
Ho1 0.000 0.500 0.000
Mg1 0.000 0.000 0.000
Mg2 0.285 0.285 0.500
Cd1 0.000 0.000 0.500